First-principles (PBE) data for a relaxed structure of Cs3Na2PmCl9, as listed in Alexandria via LeMat-Bulk.

POSCAR file:
```
Cs3Na2PmCl9
1.0
-5.5220 -4.6265 2.6859
7.3485 -1.3149 1.8390
-0.9522 5.7192 7.8941
Cs Na Pm Cl
3 2 1 9
Cartesian
2.4122 1.4624 7.4784 Cs
0.0000 0.0000 0.0000 Cs
-1.5378 -1.6847 4.9405 Cs
2.8955 -1.4404 3.4717 Na
-2.0211 1.2182 8.9472 Na
-0.4761 2.8596 3.9470 Pm
-4.0281 -0.2962 7.7688 Cl
-0.3175 -0.9602 8.6974 Cl
-1.2398 2.0399 6.4126 Cl
2.1141 -2.2621 6.0063 Cl
1.1918 0.7380 3.7215 Cl
4.9024 0.0740 4.6501 Cl
-2.7610 -2.3133 1.3429 Cl
3.6742 -0.6574 0.9195 Cl
0.9132 -2.9707 2.2624 Cl
```

Values from the calculation:
The space group is No. 164. The value obtained for the formation energy from raw total energies is -1863.5 meV per atom.